VASP calculation (PBE) on an optimized crystal structure of Ac2Tl2Au.

Geometry as POSCAR:
```
Ac2Tl2Au
1.0
5.966 -2.438 0.000
5.966 2.438 0.000
-5.461 0.000 11.010
Ac Tl Au
4 4 2
Cartesian
-1.663 0.000 3.664
1.542 0.000 1.340
4.927 0.000 9.670
8.133 0.000 7.347
1.736 0.000 4.924
4.915 0.000 1.192
1.555 0.000 9.818
4.733 0.000 6.087
-0.341 0.000 7.462
6.811 0.000 3.548
```

Results
The calculation puts the volume at 32.03 Å³ per atom. The crystal system is monoclinic. The value obtained for the total energy is -3.714 eV/atom.